The following is a DFT calculation (PBE) of an optimized crystal structure of CrCu4Pd15.

Computed properties:
VASP energy (eV per atom): -5.261
Formation energy from the elements (eV per atom): -0.066

a b c (Å): 3.888 3.888 19.486
angles (deg): 90.00 90.00 90.00
Space group P4/mmm (No. 123)
Symmetry-distinct sites (fractional):
1 Cr 0.000 0.000 0.000 x1
2 Cu 0.000 0.000 0.201 x2
3 Cu 0.000 0.000 0.400 x2
4 Pd 0.000 0.500 0.100 x4
5 Pd 0.000 0.500 0.301 x4
6 Pd 0.000 0.500 0.500 x2
7 Pd 0.500 0.500 0.000 x1
8 Pd 0.500 0.500 0.201 x2
9 Pd 0.500 0.500 0.401 x2

=====

The following is a DFT calculation (PBE) of an optimized crystal structure of Cd7Au2.

Computed properties:
VASP energy (eV per atom): -1.501
Formation energy from the elements (eV per atom): -0.061

a b c (Å): 4.8382 4.8382 9.7159
angles (deg): 90.00 90.00 120.00
Space group P-3m1 (No. 164)
Symmetry-distinct sites (fractional):
1 Cd 0.0000 0.0000 0.0000 x1
2 Cd 0.0000 0.0000 0.3220 x2
3 Cd 0.3333 0.6667 0.1440 x2
4 Cd 0.3333 0.6667 0.5396 x2
5 Au 0.3333 0.6667 0.8340 x2

=====

The following is a DFT calculation (PBE) of an optimized crystal structure of ZrIrNF2.

Computed properties:
VASP energy (eV per atom): -6.579
Formation energy from raw total energies (meV/atom): -683

a b c (Å): 4.118 4.118 4.379
angles (deg): 90.00 90.00 90.00
Space group P4/mmm (No. 123)
Symmetry-distinct sites (fractional):
1 Zr 0.000 0.000 0.000 x1
2 Ir 0.500 0.500 0.500 x1
3 N 0.000 0.000 0.500 x1
4 F 0.000 0.500 0.000 x2

=====

The following is a DFT calculation (PBE) of an optimized crystal structure of La2CrTc.

Computed properties:
VASP energy (eV per atom): -6.959
Formation energy from the elements (eV per atom): 0.502

a b c (Å): 7.094 7.094 7.094
angles (deg): 90.00 90.00 90.00
Space group F-43m (No. 216)
Symmetry-distinct sites (fractional):
1 La 0.000 0.000 0.000 x4
2 La 0.250 0.250 0.250 x4
3 Cr 0.000 0.000 0.500 x4
4 Tc 0.250 0.250 0.750 x4

=====

The following is a DFT calculation (PBE) of an optimized crystal structure of PaNbC2.

Computed properties:
VASP energy (eV per atom): -9.747
Formation energy from the elements (eV per atom): -0.243

a b c (Å): 3.3303 3.3303 17.4093
angles (deg): 90.00 90.00 120.00
Space group R3m (No. 160, hexagonal axes)
Symmetry-distinct sites (fractional):
1 Pa 0.0000 0.0000 0.0000 x3
2 Nb 0.0000 0.0000 0.8233 x3
3 C 0.0000 0.0000 0.4208 x3
4 C 0.0000 0.0000 0.5698 x3

=====

The following is a DFT calculation (PBE) of an optimized crystal structure of MnGaAsBr2.

Computed properties:
VASP energy (eV per atom): -4.099
Formation energy from raw total energies (meV/atom): -60

a b c (Å): 5.368 5.368 4.737
angles (deg): 90.00 90.00 90.00
Space group P4/mmm (No. 123)
Symmetry-distinct sites (fractional):
1 Mn 0.000 0.000 0.000 x1
2 Ga 0.500 0.500 0.500 x1
3 As 0.000 0.000 0.500 x1
4 Br 0.000 0.500 0.000 x2